Record 1
Here is crystalline VPd2Au3 at its relaxed geometry from the Alexandria database. Energies are from PBE.

Properties
- Volume: 199.57 Å³ per cell
- ΔE_f: -0.050 eV per atom

Lattice parameters (Å, degrees): 7.4233 7.4233 9.3086 90.00 90.00 157.10
Fractional coordinates of all 12 atoms:
V  0.0545  0.9455  0.7500
V  0.9455  0.0545  0.2500
Pd  0.2922  0.7078  0.2500
Pd  0.5000  0.5000  0.0000
Pd  0.5000  0.5000  0.5000
Pd  0.7078  0.2922  0.7500
Au  0.1652  0.8348  0.5024
Au  0.1652  0.8348  0.9976
Au  0.3898  0.6102  0.7500
Au  0.6102  0.3898  0.2500
Au  0.8348  0.1652  0.0024
Au  0.8348  0.1652  0.4976

=====

Record 2
Here is crystalline K2OsPt2 at its relaxed geometry from the Alexandria database. Energies are from PBE.

Properties
- Volume: 104.76 Å³ per cell
- Relative energy among the computed polymorphs: 895 meV/atom
- ΔE_f: 1.246 eV per atom

Lattice parameters (Å, degrees): 7.9981 7.9981 7.9981 153.07 153.07 38.45
Fractional coordinates of all 5 atoms:
K  0.2500  0.7500  0.5000
K  0.7500  0.2500  0.5000
Os  0.0000  0.0000  0.0000
Pt  0.4161  0.4161  0.0000
Pt  0.5839  0.5839  0.0000

=====

Record 3
Here is crystalline Ho2UPt9 at its relaxed geometry from the Alexandria database. Energies are from PBE.

Properties
- Volume: 210.34 Å³ per cell
- ΔE_f: -0.980 eV per atom

Lattice parameters (Å, degrees): 4.1307 4.1307 12.3274 90.00 90.00 90.00
Fractional coordinates of all 12 atoms:
Ho  0.0000  0.0000  0.1629
Ho  0.0000  0.0000  0.8371
U  0.0000  0.0000  0.5000
Pt  0.0000  0.5000  0.0000
Pt  0.0000  0.5000  0.3363
Pt  0.0000  0.5000  0.6637
Pt  0.5000  0.0000  0.0000
Pt  0.5000  0.0000  0.3363
Pt  0.5000  0.0000  0.6637
Pt  0.5000  0.5000  0.1670
Pt  0.5000  0.5000  0.5000
Pt  0.5000  0.5000  0.8330

=====

Record 4
Here is crystalline InHgSe2 at its relaxed geometry from the Alexandria database. Energies are from PBE.

Properties
- Volume: 103.37 Å³ per cell
- Formation energy from raw total energies: 0.11 eV/atom

Lattice parameters (Å, degrees): 2.9390 2.9390 11.9673 90.00 90.00 90.35
Fractional coordinates of all 4 atoms:
In  0.0000  0.0000  0.0000
Hg  0.0000  0.0000  0.5000
Se  0.5000  0.5000  0.2282
Se  0.5000  0.5000  0.7718

=====

Record 5
Here is crystalline YSc2Ag2 at its relaxed geometry from the Alexandria database. Energies are from PBE.

Properties
- Volume: 222.97 Å³ per cell
- Relative energy among the computed polymorphs: 90 meV/atom
- ΔE_f: -0.124 eV per atom

Lattice parameters (Å, degrees): 8.3000 8.3000 3.2366 90.00 90.00 90.00
Fractional coordinates of all 10 atoms:
Y  0.0000  0.0000  0.0000
Y  0.5000  0.5000  0.0000
Sc  0.1385  0.3615  0.0000
Sc  0.3615  0.8615  0.0000
Sc  0.6385  0.1385  0.0000
Sc  0.8615  0.6385  0.0000
Ag  0.1579  0.6579  0.5000
Ag  0.3421  0.1579  0.5000
Ag  0.6579  0.8421  0.5000
Ag  0.8421  0.3421  0.5000

=====

Record 6
Here is crystalline La3Nd3Ge4 at its relaxed geometry from the Alexandria database. Energies are from PBE.

Properties
- Volume: 281.53 Å³ per cell
- ΔE_f: -0.746 eV per atom

Lattice parameters (Å, degrees): 4.4557 7.9489 7.9489 89.70 90.00 90.00
Fractional coordinates of all 10 atoms:
La  0.0000  0.0000  0.0000
La  0.0000  0.4978  0.8463
La  0.0000  0.8463  0.4978
Nd  0.0000  0.3464  0.3464
Nd  0.5000  0.1728  0.6729
Nd  0.5000  0.6729  0.1728
Ge  0.5000  0.0572  0.2933
Ge  0.5000  0.2933  0.0572
Ge  0.5000  0.5502  0.5502
Ge  0.5000  0.7919  0.7919

=====

Record 7
Here is crystalline Ce5P2H2 at its relaxed geometry from the Alexandria database. Energies are from PBE.

Properties
- Volume: 185.98 Å³ per cell
- E: -53.47 eV/cell

Lattice parameters (Å, degrees): 7.1346 7.1346 8.8703 126.45 126.45 31.57
Fractional coordinates of all 9 atoms:
Ce  0.0000  0.0000  0.0000
Ce  0.1674  0.1674  0.7459
Ce  0.3641  0.3641  0.5185
Ce  0.6359  0.6359  0.4815
Ce  0.8326  0.8326  0.2541
P  0.4031  0.4031  0.1084
P  0.5969  0.5969  0.8916
H  0.1487  0.1487  0.3397
H  0.8513  0.8513  0.6603

=====

Record 8
Here is crystalline Ca2ZnPdO4 at its relaxed geometry from the Alexandria database. Energies are from PBE.

Properties
- Volume: 107.58 Å³ per cell
- Formation energy from raw total energies: -1.82 eV/atom

Lattice parameters (Å, degrees): 5.1923 5.1923 5.1923 110.86 110.86 106.73
Fractional coordinates of all 8 atoms:
Ca  0.0000  0.0000  0.0000
Ca  0.7500  0.2500  0.5000
Zn  0.2500  0.7500  0.5000
Pd  0.5000  0.5000  0.0000
O  0.2337  0.7077  0.8699
O  0.2923  0.1623  0.5261
O  0.6362  0.7663  0.4739
O  0.8377  0.3638  0.1301

=====

Record 9
Here is crystalline Ca2Sm2GaRh4 at its relaxed geometry from the Alexandria database. Energies are from PBE.

Properties
- Volume: 196.48 Å³ per cell
- ΔE_f: -0.366 eV per atom

Lattice parameters (Å, degrees): 6.4755 6.4755 6.4755 118.37 118.37 92.85
Fractional coordinates of all 9 atoms:
Ca  0.2500  0.7500  0.5000
Ca  0.7500  0.2500  0.5000
Sm  0.1858  0.1858  0.0000
Sm  0.8142  0.8142  0.0000
Ga  0.5000  0.5000  0.0000
Rh  0.2395  0.2395  0.4790
Rh  0.2395  0.7605  0.0000
Rh  0.7605  0.2395  0.0000
Rh  0.7605  0.7605  0.5210

=====

Record 10
Here is crystalline CaCuOF2 at its relaxed geometry from the Alexandria database. Energies are from PBE.

Properties
- Volume: 83.67 Å³ per cell
- Formation energy from raw total energies: -1.54 eV/atom
- Relative energy among the computed polymorphs: 549 meV/atom

Lattice parameters (Å, degrees): 4.2759 4.2759 4.5763 90.00 90.00 90.00
Fractional coordinates of all 5 atoms:
Ca  0.0000  0.0000  0.0000
Cu  0.5000  0.5000  0.5000
O  0.0000  0.0000  0.5000
F  0.0000  0.5000  0.0000
F  0.5000  0.0000  0.0000